An optimized crystal structure of Li2V2P4H6O17, computed with GGA+U.

Geometry as CIF:
```
data_Li2V2P4H6O17
_chemical_formula_sum 'Li4 V4 P8 H12 O34'
_cell_length_a 8.7035
_cell_length_b 9.2052
_cell_length_c 9.5484
_cell_angle_alpha 61.80
_cell_angle_beta 89.70
_cell_angle_gamma 80.71
_symmetry_space_group_name_H-M 'P 1'
_symmetry_Int_Tables_number 1
_symmetry_space_group_name_Hall 'P 1'
loop_
_atom_site_label
_atom_site_type_symbol
_atom_site_fract_x
_atom_site_fract_y
_atom_site_fract_z
Li1 Li 0.1634 0.0146 0.2223
Li2 Li 0.2434 0.3260 0.3034
Li3 Li 0.7566 0.6740 0.6966
Li4 Li 0.8366 0.9854 0.7777
V1 V 0.1281 0.7619 0.7783
V2 V 0.3710 0.2535 0.7164
V3 V 0.6290 0.7465 0.2836
V4 V 0.8719 0.2381 0.2217
P1 P 0.0608 0.1961 0.5552
P2 P 0.0826 0.3635 0.9046
P3 P 0.3595 0.8543 0.9857
P4 P 0.4038 0.6590 0.5870
P5 P 0.5962 0.3410 0.4130
P6 P 0.6405 0.1457 0.0143
P7 P 0.9174 0.6365 0.0954
P8 P 0.9392 0.8039 0.4448
H1 H 0.0776 0.6142 0.2816
H2 H 0.1621 0.6084 0.5008
H3 H 0.1979 0.0673 0.9669
H4 H 0.3415 0.0038 0.4198
H5 H 0.4254 0.0728 0.2612
H6 H 0.4502 0.5458 0.2093
H7 H 0.5498 0.4542 0.7907
H8 H 0.5746 0.9272 0.7388
H9 H 0.6585 0.9962 0.5802
H10 H 0.8021 0.9327 0.0331
H11 H 0.8379 0.3916 0.4992
H12 H 0.9224 0.3858 0.7184
O1 O 0.0314 0.2179 0.3877
O2 O 0.0485 0.2461 0.0767
O3 O 0.0502 0.0219 0.6910
O4 O 0.0711 0.6794 0.4155
O5 O 0.0771 0.5636 0.2083
O6 O 0.1574 0.5064 0.8909
O7 O 0.1867 0.2486 0.8498
O8 O 0.2191 0.2512 0.5554
O9 O 0.2293 0.9434 0.0536
O10 O 0.2892 0.7467 0.9304
O11 O 0.2922 0.7877 0.6165
O12 O 0.3212 0.5156 0.6016
O13 O 0.3305 0.0973 0.3103
O14 O 0.4298 0.9924 0.8488
O15 O 0.4470 0.4227 0.2867
O16 O 0.4587 0.7560 0.4203
O17 O 0.4791 0.7317 0.1289
O18 O 0.5209 0.2683 0.8711
O19 O 0.5413 0.2440 0.5797
O20 O 0.5530 0.5773 0.7133
O21 O 0.5702 0.0076 0.1512
O22 O 0.6695 0.9027 0.6897
O23 O 0.6788 0.4844 0.3984
O24 O 0.7078 0.2123 0.3835
O25 O 0.7108 0.2533 0.0696
O26 O 0.7707 0.0566 0.9464
O27 O 0.7809 0.7488 0.4446
O28 O 0.8133 0.7514 0.1502
O29 O 0.8426 0.4936 0.1091
O30 O 0.9229 0.4364 0.7917
O31 O 0.9289 0.3206 0.5845
O32 O 0.9498 0.9781 0.3090
O33 O 0.9515 0.7539 0.9233
O34 O 0.9686 0.7821 0.6123
```

## Properties
For the electronic total energy, the calculation gives -6.59 eV/atom. The space-group type is P-1, No. 2.